Record 1
Here is crystalline Ta2TeRh at its relaxed geometry from Alexandria. Energies are from PBE-GGA.

a = 5.320 Å, b = 5.320 Å, c = 5.320 Å
α = 139.81°, β = 132.31°, γ = 64.09°
Element x y z (fractional)
Ta 0.750 0.750 0.000
Ta 0.250 0.250 0.000
Rh 0.500 0.000 0.500
Te 0.000 0.500 0.500

## Properties
As for the formation energy from raw total energies: -18 meV/atom. The value obtained for the magnetization is 0.000 μB per cell. The theoretical density is 13.87 Mg/m³.

Record 2
Here is crystalline SrZrCd3 at its relaxed geometry from Alexandria. Energies are from PBE-GGA.

a = 5.587 Å, b = 5.587 Å, c = 5.587 Å
α = 90.00°, β = 90.00°, γ = 90.00°
Element x y z (fractional)
Cd 0.000 0.500 0.000
Cd 0.500 0.000 0.000
Cd 0.000 0.000 0.500
Zr 0.000 0.000 0.000
Sr 0.500 0.500 0.500

## Properties
The value obtained for the magnetization is 1.948 μB per cell. The theoretical density is 4.91 Mg/m³. As for the energy of formation from the pure elements: 0.35 eV per atom.

Record 3
Here is crystalline LiIn2Ga2 at its relaxed geometry from Alexandria. Energies are from PBE-GGA.

a = 3.705 Å, b = 3.705 Å, c = 8.753 Å
α = 102.22°, β = 102.22°, γ = 90.00°
Element x y z (fractional)
Ga 0.250 0.750 0.500
Ga 0.750 0.250 0.500
Li 0.000 0.000 0.000
In 0.401 0.401 0.801
In 0.599 0.599 0.199

## Properties
The value obtained for the magnetization is 0.000 μB per cell. The theoretical density is 5.45 Mg/m³. As for the energy of formation from the pure elements: -0.02 eV per atom.

Record 4
Here is crystalline Li2YTl2Ag2 at its relaxed geometry from Alexandria. Energies are from PBE-GGA.

a = 4.862 Å, b = 4.862 Å, c = 7.788 Å
α = 71.81°, β = 71.81°, γ = 60.00°
Element x y z (fractional)
Y 0.000 0.000 0.000
Ag 0.432 0.432 0.704
Ag 0.568 0.568 0.296
Tl 0.270 0.270 0.190
Tl 0.730 0.730 0.810
Li 0.856 0.856 0.433
Li 0.144 0.144 0.567

## Properties
The value obtained for the magnetization is 0.000 μB per cell. The theoretical density is 8.12 Mg/m³. As for the energy of formation from the pure elements: -0.18 eV per atom.

Record 5
Here is crystalline Tb2FeN at its relaxed geometry from Alexandria. Energies are from PBE-GGA.

a = 3.353 Å, b = 3.353 Å, c = 8.474 Å
α = 78.59°, β = 78.59°, γ = 60.00°
Element x y z (fractional)
N 0.500 0.500 0.500
Fe 0.000 0.000 0.000
Tb 0.889 0.889 0.332
Tb 0.111 0.111 0.668

## Properties
As for the formation energy from raw total energies: -233 meV/atom. The value obtained for the magnetization is 2.156 μB per cell. The theoretical density is 8.01 Mg/m³.

The highest magnetization belongs to which entry? Tb2FeN